# 1
Entry from Alexandria: a geometry-optimized CaTlN2O structure (PBE-GGA).

abc: 4.790 4.790 4.443
angles: 90.00 90.00 90.00
Element x y z (fractional)
Ca (0.000, 0.000, 0.000)
Tl (0.500, 0.500, 0.500)
N (0.000, 0.500, 0.000)
N (0.500, 0.000, 0.000)
O (0.000, 0.000, 0.500)

Output
As for the density of states at the Fermi level: 2.2 states/eV per cell. For the calculated volume, the calculation gives 101.9 Å³/f.u. As for the crystal system: tetragonal. For the uncorrected formation energy, the calculation gives 0.83 eV per atom.

# 2
Entry from Alexandria: a geometry-optimized TaCr3Sb structure (PBE-GGA).

abc: 4.743 4.743 4.743
angles: 90.00 90.00 90.00
Element x y z (fractional)
Ta (0.000, 0.000, 0.000)
Cr (0.000, 0.500, 0.500)
Cr (0.500, 0.000, 0.500)
Cr (0.500, 0.500, 0.000)
Sb (0.500, 0.500, 0.500)

Output
As for the density of states at the Fermi level: 3.6 states/eV per cell. For the calculated volume, the calculation gives 106.7 Å³/f.u. As for the crystal system: cubic. For the uncorrected formation energy, the calculation gives 1.72 eV per atom.

# 3
Entry from Alexandria: a geometry-optimized TiCd3Te structure (PBE-GGA).

abc: 5.432 5.432 5.432
angles: 90.00 90.00 90.00
Element x y z (fractional)
Ti (0.000, 0.000, 0.000)
Cd (0.000, 0.000, 0.500)
Cd (0.000, 0.500, 0.000)
Cd (0.500, 0.000, 0.000)
Te (0.500, 0.500, 0.500)

Output
As for the density of states at the Fermi level: 3.5 states/eV per cell. For the calculated volume, the calculation gives 160.3 Å³/f.u. As for the crystal system: cubic. For the uncorrected formation energy, the calculation gives 0.71 eV per atom.

# 4
Entry from Alexandria: a geometry-optimized Tb2Cu2SbRh5 structure (PBE-GGA).

abc: 9.412 9.412 3.815
angles: 90.00 90.00 90.00
Element x y z (fractional)
Tb (0.173, 0.327, 0.000)
Tb (0.327, 0.827, 0.000)
Tb (0.673, 0.173, 0.000)
Tb (0.827, 0.673, 0.000)
Cu (0.123, 0.623, 0.000)
Cu (0.377, 0.123, 0.000)
Cu (0.623, 0.877, 0.000)
Cu (0.877, 0.377, 0.000)
Sb (0.000, 0.000, 0.000)
Sb (0.500, 0.500, 0.000)
Rh (0.000, 0.500, 0.500)
Rh (0.070, 0.792, 0.500)
Rh (0.208, 0.070, 0.500)
Rh (0.292, 0.570, 0.500)
Rh (0.430, 0.292, 0.500)
Rh (0.500, 0.000, 0.500)
Rh (0.570, 0.708, 0.500)
Rh (0.708, 0.430, 0.500)
Rh (0.792, 0.930, 0.500)
Rh (0.930, 0.208, 0.500)

Output
As for the density of states at the Fermi level: 17.0 states/eV per cell. For the calculated volume, the calculation gives 169.0 Å³/f.u. As for the crystal system: tetragonal. For the uncorrected formation energy, the calculation gives -0.56 eV per atom.